# 1
Material: CaPd3
Method: DFT, GGA-PBE
State: optimized geometry

Structure (extended XYZ):
```
8
Lattice="-1.318 4.088 -1.196 -5.040 -1.726 -0.345 -0.925 1.484 6.091" Properties=species:S:1:pos:R:3 pbc="T T T"
Pd -4.571 -0.026 4.946
Ca -4.067 -0.834 1.629
Pd -1.395 -0.216 0.799
Pd -3.179 1.181 -0.771
Ca -1.899 0.592 4.116
Pd -5.003 1.654 2.854
Pd -2.280 2.192 1.695
Pd -0.659 2.044 -0.598
```

Results
Final energy in eV/cell: -38.84
Theoretical density in Mg/m³: 7.91
Crystal system: orthorhombic

# 2
Material: CrCu3PbSe4
Method: DFT, GGA-PBE
State: optimized geometry

Structure (extended XYZ):
```
9
Lattice="6.016 0.000 0.000 0.000 6.016 0.000 0.000 0.000 6.016" Properties=species:S:1:pos:R:3 pbc="T T T"
Se 4.646 4.646 1.370
Cr 0.000 0.000 0.000
Cu 0.000 3.008 0.000
Cu 3.008 0.000 0.000
Cu 0.000 0.000 3.008
Se 1.370 4.646 4.646
Pb 3.008 3.008 3.008
Se 4.646 1.370 4.646
Se 1.370 1.370 1.370
```

Results
Theoretical density in Mg/m³: 5.84
Crystal system: cubic
Formation energy (no corrections) in eV per formula unit: -1.64

# 3
Material: ZrTa2Tc3
Method: DFT, GGA-PBE
State: optimized geometry

Structure (extended XYZ):
```
6
Lattice="-1.256 -2.573 -1.465 -0.166 -1.528 2.825 -8.916 3.554 1.399" Properties=species:S:1:pos:R:3 pbc="T T T"
Tc -2.882 1.149 0.452
Ta -2.182 -1.464 0.911
Zr -5.169 -0.273 1.380
Tc 0.000 0.000 0.000
Tc -6.033 2.405 0.947
Ta -8.155 0.917 1.848
```

Results
Final energy in eV/cell: -66.13
Theoretical density in Mg/m³: 12.36
Crystal system: tetragonal

# 4
Material: Mg2Hg5Pd12
Method: DFT, GGA-PBE
State: optimized geometry

Structure (extended XYZ):
```
19
Lattice="-6.939 2.086 2.349 1.798 -7.339 -0.524 2.161 0.109 6.287" Properties=species:S:1:pos:R:3 pbc="T T T"
Hg -2.009 -1.366 7.629
Hg -3.427 -2.182 4.163
Hg 1.080 0.054 3.143
Pd 2.638 -4.931 4.441
Pd -1.706 -3.625 5.911
Pd -0.017 -5.560 4.888
Hg -0.972 -3.778 0.483
Pd -2.964 0.416 3.224
Mg -4.897 1.472 1.657
Hg 0.446 -2.962 3.949
Pd -3.824 0.012 5.914
Pd -1.894 -4.334 3.124
Pd -4.603 -4.077 2.372
Mg -2.043 0.614 0.691
Pd -1.275 -1.519 2.201
Pd 0.842 -5.156 2.198
Pd 1.622 -1.067 5.740
Pd -5.619 -0.213 3.671
Pd -1.087 -0.810 4.988
```

Results
Final energy in eV/cell: -70.82
Theoretical density in Mg/m³: 11.66
Crystal system: monoclinic

Q: The lowest theoretical density belongs to which entry?
A: CrCu3PbSe4